Here is Ba3Mg4Pb4 after structural relaxation from Alexandria via LeMat-Bulk. Energies are from PBE-GGA.

Results
ΔH_f (0 K), meV per atom: -419
Total moment, μB per cell: 0.0

Cell and atoms, written as CIF:
```
data_Ba3Mg4Pb4
_cell_length_a 5.2307
_cell_length_b 8.0580
_cell_length_c 16.9753
_cell_angle_alpha 90.00
_cell_angle_beta 90.00
_cell_angle_gamma 90.00
_symmetry_space_group_name_H-M 'I m m m'
_symmetry_Int_Tables_number 71
_symmetry_space_group_name_Hall '-I 2 2'
loop_
_atom_site_label
_atom_site_type_symbol
_atom_site_fract_x
_atom_site_fract_y
_atom_site_fract_z
_atom_site_occupancy
Ba1 Ba 0.0000 0.0000 0.0000 1
Ba2 Ba 0.0000 0.5000 0.1224 1
Mg1 Mg 0.0000 0.3057 0.3302 1
Pb1 Pb 0.0000 0.0000 0.2181 1
Pb2 Pb 0.0000 0.1950 0.5000 1
```